A plane-wave DFT calculation with GGA-PBE was carried out for crystalline Na2Tl2AgF7 at its relaxed geometry.

Values from the calculation:
* formation energy without anion corrections: -1.823 eV per atom

Cell lengths 6.0354, 6.2043, 11.0482 Å; angles 90.00, 103.88, 90.00 degrees
Closest atoms and distances in Å follow each position.
Space group C2/m (No. 12)
Unique sites:
Na: 0.0526 0.0000 0.1996  5 F 2.15-2.22
Tl: 0.0894 0.5000 0.3477  6 F 2.27-2.47
Ag: 0.0000 0.5000 0.0000  8 F 3.02-3.20
F: 0.0000 0.0000 0.0000  2 Na 2.15
F: 0.1932 0.2356 0.7602  2 Na 2.20-2.22, 2 Tl 2.46
F: 0.2404 0.5000 0.5563  2 Tl 2.27-2.47

A plane-wave DFT calculation with GGA-PBE was carried out for crystalline Na2TlAgF8 at its relaxed geometry.

Values from the calculation:
* formation energy without anion corrections: -1.925 eV per atom

Cell lengths 3.6525, 5.1890, 9.9054 Å; angles 86.14, 88.22, 87.40 degrees
Closest atoms and distances in Å follow each position.
Space group P-1 (No. 2)
Unique sites:
Na: 0.0160 0.0092 0.2454  6 F 2.30-2.36
Tl: 0.5000 0.5000 0.5000  6 F 2.11-2.30
Ag: 0.5000 0.5000 0.0000  4 F 1.96-1.97
F: 0.0144 0.3139 0.4073  2 Tl 2.27-2.30, 1 Na 2.33
F: 0.0986 0.7100 0.0806  1 Ag 1.97
F: 0.4829 0.1975 0.6530  1 Tl 2.11, 2 Na 2.30-2.32
F: 0.4953 0.7480 0.8411  1 Ag 1.96

A plane-wave DFT calculation with GGA-PBE was carried out for crystalline Na2TlAg3F6 at its relaxed geometry.

Values from the calculation:
* formation energy without anion corrections: -1.660 eV per atom

Cell lengths 15.0705, 3.5681, 7.1610 Å; angles 90.00, 100.31, 90.00 degrees
Closest atoms and distances in Å follow each position.
Space group C2/m (No. 12)
Unique sites:
Na: 0.1742 0.0000 0.3468  6 F 2.29-2.45
Tl: 0.0000 0.5000 0.0000  6 F 2.66-2.69
Ag: 0.0000 0.5000 0.5000  6 F 2.43-2.55
Ag: 0.1575 0.0000 0.8337  6 F 2.41-2.67
F: 0.0156 0.0000 0.2786  1 Na 2.35, 3 Ag 2.43-2.59
F: 0.1718 0.5000 0.5765  3 Na 2.29-2.43, 1 Ag 2.55
F: 0.1803 0.5000 0.1147  3 Ag 2.41-2.67, 2 Na 2.45, 1 Tl 2.69

A plane-wave DFT calculation with GGA-PBE was carried out for crystalline NaTl2AgF6 at its relaxed geometry.

Values from the calculation:
* formation energy without anion corrections: -1.862 eV per atom

Cell lengths 6.2738, 6.2801, 6.3204 Å; angles 119.00, 90.18, 119.78 degrees
Closest atoms and distances in Å follow each position.
Space group P1 (No. 1)
Unique sites:
Na: 0.0000 0.0000 0.0000  6 F 2.32-2.48
Tl: 0.2780 0.5531 0.8350  6 F 2.65-2.92
Tl: 0.7916 0.5810 0.3723  6 F 2.19-2.24
Ag: 0.4878 0.9788 0.4640  5 F 2.40-2.63
F: 0.0378 0.7728 0.1837  1 Tl 2.19, 1 Na 2.32
F: 0.1701 0.8045 0.6544  1 Tl 2.24, 1 Ag 2.40, 1 Na 2.48
F: 0.4105 0.4366 0.1796  1 Tl 2.19, 1 Na 2.32
F: 0.6432 0.4968 0.6630  1 Tl 2.23, 1 Na 2.44, 1 Ag 2.45
F: 0.7402 0.1510 0.1896  1 Tl 2.20, 1 Na 2.33
F: 0.8504 0.0165 0.6506  1 Tl 2.24, 1 Ag 2.41, 1 Na 2.46

A plane-wave DFT calculation with GGA-PBE was carried out for crystalline Na2TmAgF6 at its relaxed geometry.

Values from the calculation:
* formation energy without anion corrections: -2.950 eV per atom

Cell lengths 5.8697, 5.9838, 10.6407 Å; angles 90.00, 122.76, 90.00 degrees
Closest atoms and distances in Å follow each position.
Space group P2_1/c (No. 14)
Unique sites:
Na: 0.2129 0.0258 0.2165  5 F 2.28-2.55
Tm: 0.5000 0.0000 0.0000  6 F 2.14-2.16
Ag: 0.0000 0.0000 0.5000  2 F 2.24
F: 0.1567 0.1717 0.9753  1 Tm 2.15, 1 Ag 2.24, 1 Na 2.34
F: 0.2108 0.7394 0.8730  1 Tm 2.16, 1 Na 2.31
F: 0.4439 0.1451 0.8008  1 Tm 2.14, 2 Na 2.28-2.35

A plane-wave DFT calculation with GGA-PBE was carried out for crystalline NaTmAg2F6 at its relaxed geometry.

Values from the calculation:
* formation energy without anion corrections: -2.599 eV per atom

Cell lengths 5.9463, 6.0292, 6.0309 Å; angles 89.83, 60.67, 60.57 degrees
Closest atoms and distances in Å follow each position.
Space group P1 (No. 1)
Unique sites:
Na: 0.0000 0.0000 0.0000  6 F 2.29-2.40
Tm: 0.0001 0.4999 0.5000  6 F 2.15-2.16
Ag: 0.4669 0.7652 0.2493  4 F 2.32-2.53
Ag: 0.5306 0.2377 0.7531  4 F 2.32-2.53
F: 0.0128 0.8073 0.6633  1 Tm 2.15, 1 Na 2.29
F: 0.1414 0.2603 0.7298  1 Tm 2.16, 1 Ag 2.32, 1 Na 2.40
F: 0.4800 0.3175 0.1769  1 Tm 2.15, 1 Na 2.31
F: 0.5203 0.6832 0.8238  1 Tm 2.15, 1 Na 2.31
F: 0.8626 0.7357 0.2662  1 Tm 2.16, 1 Ag 2.32, 1 Na 2.40
F: 0.9859 0.1928 0.3375  1 Tm 2.15, 1 Na 2.29